Here is K2Rb3Hg4 after structural relaxation from Alexandria via LeMat-Bulk. Energies are from GGA-PBE.

Cell: 7.2183 7.2183 12.2106 Å, 93.36 93.36 42.59°
Closest atoms and distances in Å follow each position.
Fractional positions:
K (0.1695, 0.1695, 0.2736)  5 Hg 3.53-3.59
K (0.8305, 0.8305, 0.7264)  5 Hg 3.53-3.59
Rb (0.1294, 0.1294, 0.8774)  6 Hg 3.80-4.11
Rb (0.5000, 0.5000, 0.5000)  6 Hg 3.93-3.96
Rb (0.8706, 0.8706, 0.1226)  6 Hg 3.80-4.11
Hg (0.2166, 0.2166, 0.5610)  2 Hg 3.17, 1 K 3.53
Hg (0.4212, 0.4212, 0.9076)  1 Hg 3.00
Hg (0.5788, 0.5788, 0.0924)  1 Hg 3.00
Hg (0.7834, 0.7834, 0.4390)  2 Hg 3.17, 1 K 3.53

## Properties
Space-group type: C2/m (12)
ΔH_f (0 K): -195 meV/atom
Magnetic moment: 0.00 Bohr magnetons per cell